# 1
Compound: YTiAs
Source: Alexandria
Functional: PBE
Structure: optimized geometry Values from VASP.

The structure in Quantum ESPRESSO input format:
```
&SYSTEM
  ibrav = 0, nat = 6, ntyp = 3
/
ATOMIC_SPECIES
Y 88.91 Y.upf
As 74.92 As.upf
Ti 47.87 Ti.upf
CELL_PARAMETERS angstrom
-2.558 -1.872 2.416
-2.099 -1.213 -3.163
4.263 -6.337 -0.398
ATOMIC_POSITIONS crystal
Y 0.000 0.500 0.852
Y 0.500 0.000 0.148
As 0.000 0.500 0.257
As 0.500 0.000 0.743
Ti 0.500 0.500 0.500
Ti 0.000 0.000 0.500
```

Values from the calculation:
ΔH_f (0 K) in meV/atom: -1013

***

# 2
Compound: YHf2Mn
Source: Alexandria
Functional: PBE
Structure: optimized geometry Values from VASP.

The structure in Quantum ESPRESSO input format:
```
&SYSTEM
  ibrav = 0, nat = 4, ntyp = 3
/
ATOMIC_SPECIES
Y 88.91 Y.upf
Mn 54.94 Mn.upf
Hf 178.49 Hf.upf
CELL_PARAMETERS angstrom
3.207 0.000 0.000
0.000 3.207 0.000
0.000 0.000 8.325
ATOMIC_POSITIONS crystal
Y 0.500 0.500 0.500
Mn 0.500 0.500 0.000
Hf 0.000 0.000 0.820
Hf 0.000 0.000 0.180
```

Values from the calculation:
ΔH_f (0 K) in meV/atom: 47

***

# 3
Compound: PrMgAgPt
Source: Alexandria
Functional: PBE
Structure: optimized geometry Values from VASP.

The structure in Quantum ESPRESSO input format:
```
&SYSTEM
  ibrav = 0, nat = 4, ntyp = 4
/
ATOMIC_SPECIES
Pr 140.91 Pr.upf
Mg 24.30 Mg.upf
Ag 107.87 Ag.upf
Pt 195.08 Pt.upf
CELL_PARAMETERS angstrom
4.981 0.000 0.000
2.491 4.314 0.000
2.491 1.438 4.067
ATOMIC_POSITIONS crystal
Pr 0.250 0.250 0.250
Mg 0.750 0.750 0.750
Ag 0.000 0.000 0.000
Pt 0.500 0.500 0.500
```

Values from the calculation:
ΔH_f (0 K) in meV/atom: -580

***

# 4
Compound: PmPuCuAu
Source: Alexandria
Functional: PBE
Structure: optimized geometry Values from VASP.

The structure in Quantum ESPRESSO input format:
```
&SYSTEM
  ibrav = 0, nat = 4, ntyp = 4
/
ATOMIC_SPECIES
Pm 145.00 Pm.upf
Au 196.97 Au.upf
Cu 63.55 Cu.upf
Pu 244.00 Pu.upf
CELL_PARAMETERS angstrom
5.113 0.000 0.000
2.557 4.428 0.000
2.557 1.476 4.175
ATOMIC_POSITIONS crystal
Pm 0.000 0.000 0.000
Au 0.250 0.250 0.250
Cu 0.750 0.750 0.750
Pu 0.500 0.500 0.500
```

Values from the calculation:
ΔH_f (0 K) in meV/atom: -268

***

# 5
Compound: Na3PaTi2S6
Source: Alexandria
Functional: PBE
Structure: optimized geometry Values from VASP.

The structure in Quantum ESPRESSO input format:
```
&SYSTEM
  ibrav = 0, nat = 12, ntyp = 4
/
ATOMIC_SPECIES
Na 22.99 Na.upf
Pa 231.04 Pa.upf
Ti 47.87 Ti.upf
S 32.06 S.upf
CELL_PARAMETERS angstrom
6.442 -0.018 0.000
-3.235 5.571 0.000
-1.070 -1.853 6.756
ATOMIC_POSITIONS crystal
Na 0.162 0.838 0.500
Na 0.838 0.162 0.500
Na 0.500 0.500 0.500
Pa 0.000 0.000 0.000
Ti 0.323 0.677 0.000
Ti 0.677 0.323 0.000
S 0.923 0.575 0.778
S 0.719 0.719 0.212
S 0.077 0.425 0.222
S 0.575 0.923 0.778
S 0.281 0.281 0.788
S 0.425 0.077 0.222
```

Values from the calculation:
Energy relative to the elements, uncorrected in eV per atom: -1.41

***

# 6
Compound: K5Rb3H8
Source: Alexandria
Functional: PBE
Structure: optimized geometry Values from VASP.

The structure in Quantum ESPRESSO input format:
```
&SYSTEM
  ibrav = 0, nat = 16, ntyp = 3
/
ATOMIC_SPECIES
K 39.10 K.upf
Rb 85.47 Rb.upf
H 1.01 H.upf
CELL_PARAMETERS angstrom
7.076 0.000 4.053
2.377 6.665 4.053
0.020 0.014 8.167
ATOMIC_POSITIONS crystal
K 0.500 0.000 0.000
K 0.500 0.500 0.000
K 0.000 0.000 0.000
K 0.000 0.500 0.000
K 0.500 0.500 0.500
Rb 0.500 0.000 0.500
Rb 0.000 0.000 0.500
Rb 0.000 0.500 0.500
H 0.250 0.250 0.758
H 0.250 0.742 0.758
H 0.742 0.250 0.758
H 0.746 0.746 0.763
H 0.750 0.750 0.242
H 0.750 0.258 0.242
H 0.258 0.750 0.242
H 0.254 0.254 0.237
```

***

# 7
Compound: PrSm3H
Source: Alexandria
Functional: PBE
Structure: optimized geometry Values from VASP.

The structure in Quantum ESPRESSO input format:
```
&SYSTEM
  ibrav = 0, nat = 5, ntyp = 3
/
ATOMIC_SPECIES
Pr 140.91 Pr.upf
H 1.01 H.upf
Sm 150.36 Sm.upf
CELL_PARAMETERS angstrom
-2.351 -4.371 1.305
4.372 -2.579 -0.760
1.304 0.764 4.905
ATOMIC_POSITIONS crystal
Pr 0.500 0.500 0.500
H 0.000 0.000 0.000
Sm 0.000 0.500 0.000
Sm 0.000 0.000 0.500
Sm 0.500 0.000 0.000
```

***

# 8
Compound: LiCrIn2
Source: Alexandria
Functional: PBE
Structure: optimized geometry Values from VASP.

The structure in Quantum ESPRESSO input format:
```
&SYSTEM
  ibrav = 0, nat = 4, ntyp = 3
/
ATOMIC_SPECIES
Cr 52.00 Cr.upf
In 114.82 In.upf
Li 6.94 Li.upf
CELL_PARAMETERS angstrom
9.384 -0.102 -0.060
8.864 3.080 -0.060
8.864 1.447 2.720
ATOMIC_POSITIONS crystal
Cr 0.750 0.750 0.750
In 0.002 0.002 0.002
In 0.498 0.498 0.498
Li 0.250 0.250 0.250
```

Values from the calculation:
ΔH_f (0 K) in meV/atom: 187

***

# 9
Compound: ZrTc2Br
Source: Alexandria
Functional: PBE
Structure: optimized geometry Values from VASP.

The structure in Quantum ESPRESSO input format:
```
&SYSTEM
  ibrav = 0, nat = 4, ntyp = 3
/
ATOMIC_SPECIES
Br 79.90 Br.upf
Tc 98.00 Tc.upf
Zr 91.22 Zr.upf
CELL_PARAMETERS angstrom
5.460 0.004 -0.001
2.594 4.805 0.001
-3.514 -3.264 2.611
ATOMIC_POSITIONS crystal
Br 0.240 0.740 0.500
Tc 0.999 0.999 0.000
Tc 0.768 0.268 0.500
Zr 0.493 0.493 0.000
```

Values from the calculation:
Energy relative to the elements, uncorrected in eV per atom: 0.39

***

# 10
Compound: AcPm3P
Source: Alexandria
Functional: PBE
Structure: optimized geometry Values from VASP.

The structure in Quantum ESPRESSO input format:
```
&SYSTEM
  ibrav = 0, nat = 5, ntyp = 3
/
ATOMIC_SPECIES
P 30.97 P.upf
Ac 227.00 Ac.upf
Pm 145.00 Pm.upf
CELL_PARAMETERS angstrom
5.610 0.000 0.000
0.000 5.610 0.000
0.000 0.000 5.610
ATOMIC_POSITIONS crystal
P 0.000 0.000 0.000
Ac 0.500 0.500 0.500
Pm 0.000 0.500 0.000
Pm 0.000 0.000 0.500
Pm 0.500 0.000 0.000
```

Values from the calculation:
ΔH_f (0 K) in meV/atom: -438

***

# 11
Compound: TiAl
Source: Alexandria
Functional: PBE
Structure: optimized geometry Values from VASP.

The structure in Quantum ESPRESSO input format:
```
&SYSTEM
  ibrav = 0, nat = 12, ntyp = 2
/
ATOMIC_SPECIES
Ti 47.87 Ti.upf
Al 26.98 Al.upf
CELL_PARAMETERS angstrom
7.338 0.000 0.000
0.000 7.338 0.000
0.000 0.000 7.338
ATOMIC_POSITIONS crystal
Ti 0.250 0.000 0.500
Ti 0.750 0.000 0.500
Ti 0.000 0.500 0.250
Ti 0.000 0.500 0.750
Ti 0.500 0.250 0.000
Ti 0.500 0.750 0.000
Al 0.250 0.500 0.000
Al 0.750 0.500 0.000
Al 0.500 0.000 0.250
Al 0.500 0.000 0.750
Al 0.000 0.250 0.500
Al 0.000 0.750 0.500
```

Values from the calculation:
ΔH_f (0 K) in meV/atom: 1471

***

# 12
Compound: Ce2SnAs
Source: Alexandria
Functional: PBE
Structure: optimized geometry Values from VASP.

The structure in Quantum ESPRESSO input format:
```
&SYSTEM
  ibrav = 0, nat = 4, ntyp = 3
/
ATOMIC_SPECIES
As 74.92 As.upf
Sn 118.71 Sn.upf
Ce 140.12 Ce.upf
CELL_PARAMETERS angstrom
-0.533 0.078 -3.526
-3.525 -0.126 0.531
-0.257 8.089 0.218
ATOMIC_POSITIONS crystal
As 0.500 0.500 0.000
Sn 0.500 0.500 0.500
Ce 0.000 0.000 0.781
Ce 0.000 0.000 0.219
```

Values from the calculation:
ΔH_f (0 K) in meV/atom: -863

***

no.,final energy (eV for the cell shown)
1,-44.09
2,-35.35
3,-17.58
4,-27.53
5,-70.88
6,-38.30
7,-23.16
8,-16.26
9,-29.40
10,-25.96
11,-52.17
12,-23.97